[1]
InTe2Ru | the Alexandria database | GGA-PBE | optimized geometry; E = -18.26 eV/f.u.; crystal system = trigonal; E_form (uncorrected) = 0.01 eV per atom; M_tot = 0.000 μB/f.u.
1.0
2.1953 0.0000 9.4998
-1.0976 1.9011 9.4998
-1.0976 -1.9011 9.4998
Ru Te In
1 2 1
Direct
0.5000 0.5000 0.5000
0.8855 0.8855 0.8855
0.1145 0.1145 0.1145
0.0000 0.0000 0.0000



[2]
In2TeRu | the Alexandria database | GGA-PBE | optimized geometry; E = -18.04 eV/f.u.; crystal system = monoclinic; E_form (uncorrected) = -0.04 eV per atom; M_tot = 0.000 μB/f.u.
1.0
5.2303 0.0010 0.0376
4.2343 3.0703 0.0376
2.3248 0.7544 6.1084
In Ru Te
2 1 1
Direct
0.0088 0.0088 0.0233
0.1918 0.1918 0.3641
0.4601 0.4601 0.3887
0.8393 0.8393 0.7239



[3]
InTe2Ru | the Alexandria database | GGA-PBE | optimized geometry; E = -16.61 eV/f.u.; crystal system = monoclinic; E_form (uncorrected) = 0.42 eV per atom; M_tot = 0.372 μB/f.u.
1.0
5.0529 -0.0148 -0.0061
-1.4375 4.8442 -0.0061
1.8277 2.4413 4.0457
In Ru Te
1 1 2
Direct
0.5000 0.0000 0.5000
0.0000 0.5000 0.5000
0.0000 0.0000 0.0000
0.5000 0.5000 0.0000



[4]
InTe2Ru | the Alexandria database | GGA-PBE | optimized geometry; E = -16.40 eV/f.u.; crystal system = tetragonal; E_form (uncorrected) = 0.47 eV per atom; M_tot = 0.003 μB/f.u.
1.0
5.1490 0.0000 0.0000
0.0000 5.1490 0.0000
0.0000 0.0000 3.3944
In Ru Te
1 1 2
Direct
0.5000 0.0000 0.5000
0.0000 0.5000 0.5000
0.0000 0.0000 0.0000
0.5000 0.5000 0.0000